No. 1
First-principles (PBE with a Hubbard U) data for a geometry-optimized TiCrF3 structure, as listed in Alexandria.

Values from the calculation:
Space-group type = Pm-3m
Total magnetization = 6.95 μB per formula unit
Relative energy among the computed polymorphs = 0 meV per atom
Density of states at the Fermi level = 5.3 states/eV per cell
Raw total energy = -31.54 eV per cell
Calculated density = 3.7 g/cm3

a b c (Å): 4.1455 4.1455 4.1455
angles (deg): 90.00 90.00 90.00
Each line ends with the local moment (μB).
Positions (direct):
F: 0.0000 0.0000 0.5000  0.02
F: 0.5000 0.0000 0.0000  0.03
F: 0.0000 0.5000 0.0000  0.03
Cr: 0.5000 0.5000 0.5000  4.69
Ti: 0.0000 0.0000 0.0000  1.45


No. 2
First-principles (PBE with a Hubbard U) data for a geometry-optimized TiCr2F structure, as listed in Alexandria.

Values from the calculation:
Space-group type = I-42d
Total magnetization = 7.70 μB per formula unit
Relative energy among the computed polymorphs = 0 meV per atom
Density of states at the Fermi level = 8.3 states/eV per cell
Raw total energy = -49.50 eV per cell
Calculated density = 4.2 g/cm3

a b c (Å): 7.1009 7.1009 5.6864
angles (deg): 51.36 51.36 90.00
Each line ends with the local moment (μB).
Positions (direct):
F: 0.2500 0.7500 0.5000  0.05
F: 0.5000 0.5000 0.0000  0.05
Ti: 0.0000 0.0000 0.0000  -1.11
Ti: 0.7500 0.2500 0.5000  -1.11
Cr: 0.5560 0.1250 0.2500  4.12
Cr: 0.1940 0.6250 0.2500  4.13
Cr: 0.8750 0.8060 0.7500  4.14
Cr: 0.3750 0.4440 0.7500  4.13


No. 3
First-principles (PBE with a Hubbard U) data for a geometry-optimized TiCrF2 structure, as listed in Alexandria.

Values from the calculation:
Space-group type = R-3m
Total magnetization = 5.03 μB per formula unit
Relative energy among the computed polymorphs = 0 meV per atom
Density of states at the Fermi level = 1.9 states/eV per cell
Raw total energy = -25.55 eV per cell
Calculated density = 3.8 g/cm3

a b c (Å): 8.7358 8.7358 8.7358
angles (deg): 18.85 18.85 18.85
Each line ends with the local moment (μB).
Positions (direct):
F: 0.1132 0.1132 0.1132  0.01
F: 0.8868 0.8868 0.8868  0.01
Cr: 0.0000 0.0000 0.0000  4.41
Ti: 0.5000 0.5000 0.5000  0.00


No. 4
First-principles (PBE with a Hubbard U) data for a geometry-optimized Ti3CrF structure, as listed in Alexandria.

Values from the calculation:
Space-group type = Pm-3m
Total magnetization = 1.93 μB per formula unit
Relative energy among the computed polymorphs = 0 meV per atom
Density of states at the Fermi level = 4.2 states/eV per cell
Raw total energy = -34.91 eV per cell
Calculated density = 4.7 g/cm3

a b c (Å): 4.2446 4.2446 4.2446
angles (deg): 90.00 90.00 90.00
Each line ends with the local moment (μB).
Positions (direct):
Cr: 0.5000 0.5000 0.5000  3.82
Ti: 0.0000 0.0000 0.5000  -0.52
Ti: 0.0000 0.5000 0.0000  -0.56
Ti: 0.5000 0.0000 0.0000  -0.81
F: 0.0000 0.0000 0.0000  -0.02


No. 5
First-principles (PBE with a Hubbard U) data for a geometry-optimized TiCrF5 structure, as listed in Alexandria.

Values from the calculation:
Space-group type = C2/c
Total magnetization = 5.00 μB per formula unit
Density of states at the Fermi level = 4.7 states/eV per cell
Raw total energy = -91.07 eV per cell
Calculated density = 3.2 g/cm3

a b c (Å): 5.4882 5.4882 7.7716
angles (deg): 69.29 69.29 73.29
Each line ends with the local moment (μB).
Positions (direct):
Ti: 0.0000 0.0000 0.0000  0.91
Ti: 0.0000 0.0000 0.5000  0.91
F: 0.7475 0.7546 0.6242  0.00
F: 0.3054 0.6982 0.0023  0.01
F: 0.2454 0.2525 0.8758  0.00
F: 0.7546 0.7475 0.1242  0.00
F: 0.6982 0.3054 0.5023  0.01
F: 0.3018 0.6946 0.4977  0.01
F: 0.6946 0.3018 0.9977  0.01
F: 0.9936 0.0064 0.2500  -0.01
F: 0.2525 0.2454 0.3758  0.00
F: 0.0064 0.9936 0.7500  -0.01
Cr: 0.5026 0.4974 0.2500  3.84
Cr: 0.4974 0.5026 0.7500  3.84


No. 6
First-principles (PBE with a Hubbard U) data for a geometry-optimized TiCrF2 structure, as listed in Alexandria.

Values from the calculation:
Space-group type = Fm-3m
Total magnetization = 2.74 μB per formula unit
Relative energy among the computed polymorphs = 565 meV per atom
Density of states at the Fermi level = 4.3 states/eV per cell
Raw total energy = -23.28 eV per cell
Calculated density = 4.3 g/cm3

a b c (Å): 4.2133 4.2133 4.2133
angles (deg): 60.00 60.00 60.00
Each line ends with the local moment (μB).
Positions (direct):
F: 0.7500 0.7500 0.7500  0.03
F: 0.2500 0.2500 0.2500  0.03
Ti: 0.0000 0.0000 0.0000  -1.69
Cr: 0.5000 0.5000 0.5000  4.35


No. 7
First-principles (PBE with a Hubbard U) data for a geometry-optimized TiTlCrF6 structure, as listed in Alexandria.

Values from the calculation:
Space-group type = P-31c
Total magnetization = 5.00 μB per formula unit
Density of states at the Fermi level = 14.2 states/eV per cell
Raw total energy = -106.04 eV per cell
Calculated density = 4.2 g/cm3

a b c (Å): 5.7161 5.7161 11.5791
angles (deg): 90.00 90.00 120.00
Each line ends with the local moment (μB).
Positions (direct):
Ti: 0.3333 0.6667 0.7500  0.67
Ti: 0.6667 0.3333 0.2500  0.67
Cr: 0.3333 0.6667 0.2500  4.10
Cr: 0.6667 0.3333 0.7500  4.10
F: 0.3657 0.3970 0.8430  -0.01
F: 0.6030 0.6343 0.6570  -0.01
F: 0.6030 0.9687 0.8430  -0.01
F: 0.0313 0.3970 0.6570  -0.01
F: 0.9687 0.3657 0.1570  -0.01
F: 0.0313 0.6343 0.8430  -0.01
F: 0.6343 0.0313 0.3430  -0.01
F: 0.9687 0.6030 0.3430  -0.01
F: 0.3970 0.3657 0.3430  -0.01
F: 0.3657 0.9687 0.6570  -0.01
F: 0.3970 0.0313 0.1570  -0.01
F: 0.6343 0.6030 0.1570  -0.01
Tl: 0.0000 0.0000 0.5000  0.00
Tl: 0.0000 0.0000 0.0000  0.00


No. 8
First-principles (PBE with a Hubbard U) data for a geometry-optimized TiCrWF2 structure, as listed in Alexandria.

Values from the calculation:
Space-group type = P4/mmm
Total magnetization = 6.25 μB per formula unit
Density of states at the Fermi level = 4.8 states/eV per cell
Raw total energy = -27.82 eV per cell
Calculated density = 5.1 g/cm3

a b c (Å): 4.1668 6.0731 4.1668
angles (deg): 90.00 90.00 90.00
Each line ends with the local moment (μB).
Positions (direct):
W: 0.0000 0.0000 0.0000  2.81
F: 0.0000 0.0000 0.5000  0.03
F: 0.5000 0.0000 0.0000  0.08
Ti: 0.0000 0.5000 0.0000  -1.25
Cr: 0.5000 0.5000 0.5000  4.25


No. 9
First-principles (PBE with a Hubbard U) data for a geometry-optimized TlCrF2 structure, as listed in Alexandria.

Values from the calculation:
Space-group type = I-42d
Total magnetization = 4.79 μB per formula unit
Relative energy among the computed polymorphs = 145 meV per atom
Density of states at the Fermi level = 4.4 states/eV per cell
Raw total energy = -39.23 eV per cell
Calculated density = 5.5 g/cm3

a b c (Å): 5.6070 5.6070 6.8683
angles (deg): 65.91 65.91 90.00
Each line ends with the local moment (μB).
Positions (direct):
Cr: 0.2500 0.7500 0.5000  4.08
Cr: 0.5000 0.5000 0.0000  4.08
F: 0.8750 0.7518 0.7500  0.03
F: 0.3750 0.4982 0.7500  0.03
F: 0.2482 0.6250 0.2500  0.04
F: 0.5018 0.1250 0.2500  0.03
Tl: 0.0000 0.0000 0.0000  0.08
Tl: 0.7500 0.2500 0.5000  0.08


No. 10
First-principles (PBE with a Hubbard U) data for a geometry-optimized TlCr3F9 structure, as listed in Alexandria.

Values from the calculation:
Space-group type = P6/mmm
Total magnetization = 10.00 μB per formula unit
Density of states at the Fermi level = 2.3 states/eV per cell
Raw total energy = -75.20 eV per cell
Calculated density = 4.5 g/cm3

a b c (Å): 3.9979 7.5486 7.5486
angles (deg): 120.00 90.00 90.00
Each line ends with the local moment (μB).
Positions (direct):
F: 0.0000 0.0000 0.5000  -0.01
F: 0.5000 0.2027 0.7973  -0.01
F: 0.0000 0.5000 0.0000  -0.01
F: 0.5000 0.7973 0.5946  -0.01
F: 0.5000 0.4054 0.2027  -0.01
F: 0.5000 0.2027 0.4054  -0.01
F: 0.5000 0.5946 0.7973  -0.01
F: 0.0000 0.5000 0.5000  -0.01
F: 0.5000 0.7973 0.2027  -0.01
Cr: 0.5000 0.5000 0.0000  3.27
Cr: 0.5000 0.0000 0.5000  3.27
Cr: 0.5000 0.5000 0.5000  3.27
Tl: 0.0000 0.0000 0.0000  0.00


No. 11
First-principles (PBE with a Hubbard U) data for a geometry-optimized TlCrF6 structure, as listed in Alexandria.

Values from the calculation:
Space-group type = C2/m
Total magnetization = 3.00 μB per formula unit
Density of states at the Fermi level = 0.0 states/eV per cell
Raw total energy = -38.87 eV per cell
Calculated density = 5.2 g/cm3

a b c (Å): 5.1333 5.1333 5.2319
angles (deg): 96.68 96.68 117.70
Each line ends with the local moment (μB).
Positions (direct):
Tl: 0.0000 0.0000 0.0000  0.02
F: 0.8596 0.5664 0.7375  -0.01
F: 0.2474 0.2474 0.7158  0.01
F: 0.1404 0.4336 0.2625  -0.01
F: 0.7526 0.7526 0.2842  0.01
F: 0.5664 0.8596 0.7375  -0.01
F: 0.4336 0.1404 0.2625  -0.01
Cr: 0.5000 0.5000 0.5000  2.94


No. 12
First-principles (PBE with a Hubbard U) data for a geometry-optimized TlCr3F structure, as listed in Alexandria.

Values from the calculation:
Space-group type = Pm-3m
Total magnetization = 13.90 μB per formula unit
Relative energy among the computed polymorphs = 836 meV per atom
Density of states at the Fermi level = 3.1 states/eV per cell
Raw total energy = -22.82 eV per cell
Calculated density = 4.1 g/cm3

a b c (Å): 5.3716 5.3716 5.3716
angles (deg): 90.00 90.00 90.00
Each line ends with the local moment (μB).
Positions (direct):
Cr: 0.0000 0.0000 0.5000  4.43
Cr: 0.5000 0.0000 0.0000  4.15
Cr: 0.0000 0.5000 0.0000  4.30
F: 0.5000 0.5000 0.5000  -0.05
Tl: 0.0000 0.0000 0.0000  -0.06


Which of these has the lowest total magnetization? Ti3CrF


The highest total magnetization belongs to which entry? TlCr3F